Density functional theory data (PBE-GGA) for a relaxed structure of NbSi3Sb.

**ΔE to the lowest computed polymorph**: 1038 meV/atom
**N(E_F)**: 8.25 states/eV/f.u.
**Spin magnetization**: 0.00 μB per cell
**ρ**: 4.02 g/cm³

abc: 4.9781 4.9781 4.9781
angles: 90.00 90.00 90.00
Space group Pm-3m (No. 221)
Asymmetric unit:
Nb 0.0000 0.0000 0.0000
Si 0.0000 0.5000 0.5000
Sb 0.5000 0.5000 0.5000